# 1
Entry from Alexandria via LeMat-Bulk: a relaxed Ba2MgOs crystal (PBE).

POSCAR file:
```
Ba2MgOs
1.0
11.447 0.000 0.000
0.000 11.447 0.000
0.000 0.000 5.224
Ba Mg Os
8 4 4
direct
0.072 0.250 0.125 Ba
0.250 0.572 0.375 Ba
0.250 0.928 0.875 Ba
0.428 0.250 0.625 Ba
0.572 0.750 0.625 Ba
0.750 0.072 0.875 Ba
0.750 0.428 0.375 Ba
0.928 0.750 0.125 Ba
0.000 0.000 0.500 Mg
0.000 0.500 0.750 Mg
0.500 0.000 0.250 Mg
0.500 0.500 0.000 Mg
0.000 0.000 0.000 Os
0.000 0.500 0.250 Os
0.500 0.000 0.750 Os
0.500 0.500 0.500 Os
```

Properties
The value obtained for the total magnetization is 0.000 μB per atom. Its space group is I-42d. The calculation puts the formation enthalpy at 0 K at 0.50 eV per atom. Its total DFT energy (no corrections) is -3.67 eV/atom.

# 2
Entry from Alexandria via LeMat-Bulk: a relaxed BaMgOs2 crystal (PBE).

POSCAR file:
```
BaMgOs2
1.0
2.952 0.000 0.000
0.000 4.686 0.000
-0.919 0.000 6.524
Ba Mg Os
1 1 2
direct
0.000 0.000 0.000 Ba
0.500 0.000 0.500 Mg
0.288 0.500 0.657 Os
0.712 0.500 0.343 Os
```

Properties
The value obtained for the total magnetization is 0.000 μB per atom. Its space group is P2/m. The calculation puts the formation enthalpy at 0 K at 0.79 eV per atom. Its total DFT energy (no corrections) is -5.70 eV/atom.

# 3
Entry from Alexandria via LeMat-Bulk: a relaxed BaMg3Os crystal (PBE).

POSCAR file:
```
BaMg3Os
1.0
5.176 0.000 0.000
0.000 5.176 0.000
0.000 0.000 5.176
Ba Mg Os
1 3 1
direct
0.000 0.000 0.000 Ba
0.000 0.500 0.500 Mg
0.500 0.000 0.500 Mg
0.500 0.500 0.000 Mg
0.500 0.500 0.500 Os
```

Properties
As for the distance to the lowest polymorph of the same formula: 0.00 eV per formula unit. The value obtained for the total magnetization is 0.000 μB per atom. Its space group is Pm-3m. The calculation puts the formation enthalpy at 0 K at 0.15 eV per atom. Its total DFT energy (no corrections) is -3.44 eV/atom.

# 4
Entry from Alexandria via LeMat-Bulk: a relaxed Ba2MgOs crystal (PBE).

POSCAR file:
```
Ba2MgOs
1.0
3.754 0.000 0.000
0.000 3.754 0.000
0.000 0.000 9.347
Ba Mg Os
2 1 1
direct
0.000 0.000 0.000 Ba
0.500 0.500 0.432 Ba
0.000 0.000 0.674 Mg
0.500 0.500 0.760 Os
```

Properties
The value obtained for the total magnetization is 0.000 μB per atom. Its space group is P4mm. The calculation puts the formation enthalpy at 0 K at 0.45 eV per atom. Its total DFT energy (no corrections) is -3.72 eV/atom.

# 5
Entry from Alexandria via LeMat-Bulk: a relaxed BaMg2Os crystal (PBE).

POSCAR file:
```
BaMg2Os
1.0
4.452 0.000 0.000
0.000 4.452 0.000
0.000 0.000 4.892
Ba Mg Os
1 2 1
direct
0.000 0.000 0.000 Ba
0.000 0.500 0.500 Mg
0.500 0.000 0.500 Mg
0.500 0.500 0.000 Os
```

Properties
The value obtained for the total magnetization is 0.136 μB per atom. Its space group is P4/mmm. The calculation puts the formation enthalpy at 0 K at 0.73 eV per atom. Its total DFT energy (no corrections) is -3.36 eV/atom.

# 6
Entry from Alexandria via LeMat-Bulk: a relaxed Ba2MgOs crystal (PBE).

POSCAR file:
```
Ba2MgOs
1.0
4.644 0.000 0.000
-2.322 4.022 0.000
0.000 0.000 24.890
Ba Mg Os
6 3 3
direct
0.000 0.000 0.000 Ba
0.000 0.000 0.167 Ba
0.333 0.667 0.667 Ba
0.333 0.667 0.834 Ba
0.667 0.333 0.333 Ba
0.667 0.333 0.500 Ba
0.000 0.000 0.417 Mg
0.333 0.667 0.083 Mg
0.667 0.333 0.750 Mg
0.000 0.000 0.750 Os
0.333 0.667 0.417 Os
0.667 0.333 0.083 Os
```

Properties
The value obtained for the total magnetization is 0.000 μB per atom. Its space group is R3m. The calculation puts the formation enthalpy at 0 K at 0.31 eV per atom. Its total DFT energy (no corrections) is -3.86 eV/atom.